BaCdTeO4: relaxed, PBE.

Summary:
**Calculated density**: 3.47 Mg/m³
**Total DFT energy (no corrections)**: -4.681 eV/atom
**M_tot**: 0.0 μB/f.u.

abc: 9.450 9.450 9.450
angles: 90.00 90.00 90.00
Space group F-43m (No. 216)
Asymmetric unit:
Ba (0.000, 0.000, 0.000)
Cd (0.250, 0.250, 0.750)
Te (0.000, 0.000, 0.500)
O (0.119, 0.119, 0.619)